A plane-wave DFT calculation with PBE with a Hubbard U was carried out for a relaxed structure of CaCo2F2.

abc: 3.1820 3.1820 9.1551
angles: 79.99 79.99 90.00
Each line ends with the local moment (μB).
Fractional positions:
Ca: 0.0000 0.0000 0.0000  0.00
Co: 0.7500 0.2500 0.5000  1.99
Co: 0.2500 0.7500 0.5000  1.99
F: 0.4348 0.4348 0.1304  0.00
F: 0.5652 0.5652 0.8696  0.00

Results
energy above the lowest structure with this stoichiometry: 0.000 eV/atom
total magnetization: 3.88 μB/cell
uncorrected energy: -22.300 eV per cell
space-group type: I4/mmm (139)